# PBE TbSmTm4S8, optimized geometry
data_TbSmTm4S8
_cell_length_a 7.9908
_cell_length_b 7.9908
_cell_length_c 19.6914
_cell_angle_alpha 90.00
_cell_angle_beta 90.00
_cell_angle_gamma 120.00
_symmetry_space_group_name_H-M 'R 3 m'
_symmetry_Int_Tables_number 160
_symmetry_space_group_name_Hall 'R 3 -2"'
loop_
_atom_site_label
_atom_site_type_symbol
_atom_site_fract_x
_atom_site_fract_y
_atom_site_fract_z
Tb1 Tb 0.0000 0.0000 0.0000
Sm1 Sm 0.0000 0.0000 0.3746
Tm1 Tm 0.0000 0.0000 0.6261
Tm2 Tm 0.0015 0.5008 0.5008
S1 S 0.0000 0.0000 0.2387
S2 S 0.0000 0.0000 0.7582
S3 S 0.0254 0.5127 0.7559
S4 S 0.1742 0.3484 0.5798
# total moment	0.00	μB/f.u.
# calculated volume	1088.9	Å³/cell
# Fermi-level density of states	24.5	states/eV/cell
# uncorrected formation energy	-1.919	eV per atom

---

# PBE Tb4SmTm3S8, optimized geometry
data_Tb4SmTm3S8
_cell_length_a 7.8119
_cell_length_b 7.8119
_cell_length_c 19.1540
_cell_angle_alpha 90.00
_cell_angle_beta 90.00
_cell_angle_gamma 120.00
_symmetry_space_group_name_H-M 'R -3 m'
_symmetry_Int_Tables_number 166
_symmetry_space_group_name_Hall '-R 3 2"'
loop_
_atom_site_label
_atom_site_type_symbol
_atom_site_fract_x
_atom_site_fract_y
_atom_site_fract_z
Tb1 Tb 0.0000 0.0000 0.0000
Tb2 Tb 0.0000 0.5000 0.0000
Sm1 Sm 0.0000 0.0000 0.5000
Tm1 Tm 0.0000 0.5000 0.5000
S1 S 0.0000 0.0000 0.2470
S2 S 0.0075 0.5038 0.7512
# total moment	0.00	μB/f.u.
# calculated volume	1012.3	Å³/cell
# Fermi-level density of states	25.6	states/eV/cell
# uncorrected formation energy	-1.975	eV per atom

---

# PBE Tb4SmTmS8, optimized geometry
data_Tb4SmTmS8
_cell_length_a 8.0979
_cell_length_b 8.0979
_cell_length_c 19.7409
_cell_angle_alpha 90.00
_cell_angle_beta 90.00
_cell_angle_gamma 120.00
_symmetry_space_group_name_H-M 'R 3 m'
_symmetry_Int_Tables_number 160
_symmetry_space_group_name_Hall 'R 3 -2"'
loop_
_atom_site_label
_atom_site_type_symbol
_atom_site_fract_x
_atom_site_fract_y
_atom_site_fract_z
Tb1 Tb 0.0000 0.0000 0.0000
Tb2 Tb 0.0010 0.5005 0.8759
Sm1 Sm 0.0000 0.0000 0.7517
Tm1 Tm 0.0000 0.0000 0.3756
S1 S 0.0000 0.0000 0.1325
S2 S 0.0000 0.0000 0.6172
S3 S 0.0288 0.5144 0.1273
S4 S 0.1785 0.3570 0.9585
# total moment	0.00	μB/f.u.
# calculated volume	1121.1	Å³/cell
# Fermi-level density of states	25.0	states/eV/cell
# uncorrected formation energy	-1.930	eV per atom

---

# PBE Tb3Sm4TmS8, optimized geometry
data_Tb3Sm4TmS8
_cell_length_a 7.8904
_cell_length_b 7.8904
_cell_length_c 19.5334
_cell_angle_alpha 90.00
_cell_angle_beta 90.00
_cell_angle_gamma 120.00
_symmetry_space_group_name_H-M 'R -3 m'
_symmetry_Int_Tables_number 166
_symmetry_space_group_name_Hall '-R 3 2"'
loop_
_atom_site_label
_atom_site_type_symbol
_atom_site_fract_x
_atom_site_fract_y
_atom_site_fract_z
Tb1 Tb 0.0000 0.5000 0.0000
Sm1 Sm 0.0000 0.0000 0.5000
Sm2 Sm 0.0000 0.5000 0.5000
Tm1 Tm 0.0000 0.0000 0.0000
S1 S 0.0000 0.0000 0.2528
S2 S 0.0043 0.5021 0.7462
# total moment	0.00	μB/f.u.
# calculated volume	1053.2	Å³/cell
# Fermi-level density of states	24.8	states/eV/cell
# uncorrected formation energy	-2.005	eV per atom

---

# PBE TbSm4Tm3S8, optimized geometry
data_TbSm4Tm3S8
_cell_length_a 7.8195
_cell_length_b 7.8195
_cell_length_c 19.5768
_cell_angle_alpha 90.00
_cell_angle_beta 90.00
_cell_angle_gamma 120.00
_symmetry_space_group_name_H-M 'R -3 m'
_symmetry_Int_Tables_number 166
_symmetry_space_group_name_Hall '-R 3 2"'
loop_
_atom_site_label
_atom_site_type_symbol
_atom_site_fract_x
_atom_site_fract_y
_atom_site_fract_z
Tb1 Tb 0.0000 0.0000 0.0000
Sm1 Sm 0.0000 0.0000 0.5000
Sm2 Sm 0.0000 0.5000 0.5000
Tm1 Tm 0.0000 0.5000 0.0000
S1 S 0.0000 0.0000 0.2557
S2 S 0.0040 0.5020 0.2548
# total moment	0.00	μB/f.u.
# calculated volume	1036.6	Å³/cell
# Fermi-level density of states	22.9	states/eV/cell
# uncorrected formation energy	-1.988	eV per atom

---

# PBE TbSm3Tm3S8, optimized geometry
data_TbSm3Tm3S8
_cell_length_a 7.8087
_cell_length_b 7.8087
_cell_length_c 19.3565
_cell_angle_alpha 90.00
_cell_angle_beta 90.00
_cell_angle_gamma 120.00
_symmetry_space_group_name_H-M 'R -3 m'
_symmetry_Int_Tables_number 166
_symmetry_space_group_name_Hall '-R 3 2"'
loop_
_atom_site_label
_atom_site_type_symbol
_atom_site_fract_x
_atom_site_fract_y
_atom_site_fract_z
Tb1 Tb 0.0000 0.0000 0.0000
Sm1 Sm 0.0000 0.5000 0.5000
Tm1 Tm 0.0000 0.5000 0.0000
S1 S 0.0000 0.0000 0.2550
S2 S 0.0078 0.5039 0.2532
# total moment	0.00	μB/f.u.
# calculated volume	1022.1	Å³/cell
# Fermi-level density of states	19.6	states/eV/cell
# uncorrected formation energy	-2.039	eV per atom

---

# PBE TbSm2Tm3S6, optimized geometry
data_TbSm2Tm3S6
_cell_length_a 17.101
_cell_length_b 3.884
_cell_length_c 7.895
_cell_angle_alpha 90.00
_cell_angle_beta 104.30
_cell_angle_gamma 90.00
_symmetry_space_group_name_H-M 'C 1 2/m 1'
_symmetry_Int_Tables_number 12
loop_
_symmetry_equiv_pos_as_xyz
'x,y,z'
'-x,-y,-z'
'-x,y,-z'
'x,-y,z'
'x+1/2,y+1/2,z'
'-x+1/2,-y+1/2,-z'
'-x+1/2,y+1/2,-z'
'x+1/2,-y+1/2,z'
loop_
_atom_site_label
_atom_site_type_symbol
_atom_site_fract_x
_atom_site_fract_y
_atom_site_fract_z
Tb1 Tb 0.000 0.000 0.000
Sm1 Sm 0.167 0.500 0.334
Tm1 Tm 0.000 0.000 0.500
Tm2 Tm 0.168 0.500 0.833
S1 S 0.004 0.500 0.746
S2 S 0.163 0.000 0.592
S3 S 0.168 0.000 0.073
# total moment	0.00	μB/f.u.
# calculated volume	508.2	Å³/cell
# Fermi-level density of states	9.9	states/eV/cell
# uncorrected formation energy	-1.979	eV per atom

---

# PBE TbSm2TmS4, optimized geometry
data_TbSm2TmS4
_cell_length_a 6.808
_cell_length_b 3.898
_cell_length_c 6.928
_cell_angle_alpha 90.00
_cell_angle_beta 108.85
_cell_angle_gamma 90.00
_symmetry_space_group_name_H-M 'P 1 2/m 1'
_symmetry_Int_Tables_number 10
loop_
_symmetry_equiv_pos_as_xyz
'x,y,z'
'-x,-y,-z'
'-x,y,-z'
'x,-y,z'
loop_
_atom_site_label
_atom_site_type_symbol
_atom_site_fract_x
_atom_site_fract_y
_atom_site_fract_z
Tb1 Tb 0.000 0.000 0.000
Sm1 Sm 0.000 0.500 0.500
Sm2 Sm 0.500 0.000 0.500
Tm1 Tm 0.500 0.500 0.000
S1 S 0.250 0.500 0.239
S2 S 0.259 0.000 0.764
# total moment	0.00	μB/f.u.
# calculated volume	174.0	Å³/cell
# Fermi-level density of states	4.5	states/eV/cell
# uncorrected formation energy	-1.998	eV per atom

---

# PBE TbSm3Tm2S6, optimized geometry
data_TbSm3Tm2S6
_cell_length_a 6.781
_cell_length_b 11.787
_cell_length_c 6.877
_cell_angle_alpha 90.00
_cell_angle_beta 109.24
_cell_angle_gamma 90.00
_symmetry_space_group_name_H-M 'C 1 2/m 1'
_symmetry_Int_Tables_number 12
loop_
_symmetry_equiv_pos_as_xyz
'x,y,z'
'-x,-y,-z'
'-x,y,-z'
'x,-y,z'
'x+1/2,y+1/2,z'
'-x+1/2,-y+1/2,-z'
'-x+1/2,y+1/2,-z'
'x+1/2,-y+1/2,z'
loop_
_atom_site_label
_atom_site_type_symbol
_atom_site_fract_x
_atom_site_fract_y
_atom_site_fract_z
Tb1 Tb 0.000 0.000 0.000
Sm1 Sm 0.000 0.164 0.500
Sm2 Sm 0.000 0.500 0.500
Tm1 Tm 0.000 0.334 0.000
S1 S 0.240 0.500 0.235
S2 S 0.248 0.169 0.237
# total moment	0.00	μB/f.u.
# calculated volume	518.9	Å³/cell
# Fermi-level density of states	10.5	states/eV/cell
# uncorrected formation energy	-1.997	eV per atom

---

# PBE Tb2SmTmS6, optimized geometry
data_Tb2SmTmS6
_cell_length_a 6.9503
_cell_length_b 6.9503
_cell_length_c 18.5665
_cell_angle_alpha 90.00
_cell_angle_beta 90.00
_cell_angle_gamma 120.00
_symmetry_space_group_name_H-M 'R 3'
_symmetry_Int_Tables_number 146
_symmetry_space_group_name_Hall 'R 3'
loop_
_atom_site_label
_atom_site_type_symbol
_atom_site_fract_x
_atom_site_fract_y
_atom_site_fract_z
Tb1 Tb 0.0000 0.0000 0.0000
Tb2 Tb 0.0000 0.0000 0.4973
Sm1 Sm 0.0000 0.0000 0.2028
Tm1 Tm 0.0000 0.0000 0.6987
S1 S 0.0068 0.7083 0.6002
S2 S 0.0320 0.3589 0.7657
# total moment	0.00	μB/f.u.
# calculated volume	776.8	Å³/cell
# Fermi-level density of states	0.0	states/eV/cell
# uncorrected formation energy	-2.050	eV per atom

---

# PBE Tb3SmTm2S6, optimized geometry
data_Tb3SmTm2S6
_cell_length_a 6.764
_cell_length_b 11.762
_cell_length_c 6.774
_cell_angle_alpha 90.00
_cell_angle_beta 109.50
_cell_angle_gamma 90.00
_symmetry_space_group_name_H-M 'C 1 2/m 1'
_symmetry_Int_Tables_number 12
loop_
_symmetry_equiv_pos_as_xyz
'x,y,z'
'-x,-y,-z'
'-x,y,-z'
'x,-y,z'
'x+1/2,y+1/2,z'
'-x+1/2,-y+1/2,-z'
'-x+1/2,y+1/2,-z'
'x+1/2,-y+1/2,z'
loop_
_atom_site_label
_atom_site_type_symbol
_atom_site_fract_x
_atom_site_fract_y
_atom_site_fract_z
Tb1 Tb 0.000 0.000 0.000
Tb2 Tb 0.000 0.338 0.000
Sm1 Sm 0.000 0.500 0.500
Tm1 Tm 0.000 0.166 0.500
S1 S 0.239 0.000 0.744
S2 S 0.246 0.172 0.252
# total moment	0.00	μB/f.u.
# calculated volume	508.0	Å³/cell
# Fermi-level density of states	9.6	states/eV/cell
# uncorrected formation energy	-1.988	eV per atom

---

# PBE Tb2SmUS8, optimized geometry
data_Tb2SmUS8
_cell_length_a 5.909
_cell_length_b 8.185
_cell_length_c 6.460
_cell_angle_alpha 90.00
_cell_angle_beta 90.22
_cell_angle_gamma 90.00
_symmetry_space_group_name_H-M 'P 1 2/m 1'
_symmetry_Int_Tables_number 10
loop_
_symmetry_equiv_pos_as_xyz
'x,y,z'
'-x,-y,-z'
'-x,y,-z'
'x,-y,z'
loop_
_atom_site_label
_atom_site_type_symbol
_atom_site_fract_x
_atom_site_fract_y
_atom_site_fract_z
Tb1 Tb 0.000 0.246 0.000
Sm1 Sm 0.500 0.500 0.500
U1 U 0.500 0.000 0.500
S1 S 0.253 0.231 0.639
S2 S 0.255 0.000 0.168
S3 S 0.290 0.500 0.102
# total moment	1.00	μB/f.u.
# calculated volume	312.4	Å³/cell
# Fermi-level density of states	1.0	states/eV/cell
# uncorrected formation energy	-1.492	eV per atom